Record 1
The following is a DFT calculation (PBE-GGA) of CoTc3C after structural relaxation.

```
CoTc3C
1.0
-2.6263 -1.7341 -2.4905
2.4994 0.6320 -3.0758
1.7212 -3.5638 0.6664
C Co Tc
1 1 3
Cartesian
0.0000 0.0000 0.0000
0.7972 -2.3329 -2.4500
1.2497 0.3160 -1.5379
0.8606 -1.7819 0.3332
-1.3131 -0.8671 -1.2453
```

The calculation puts the spin magnetization at 1.56 μB/cell. As for the polymorph energy (0 for the lowest one): 0.000 eV/atom. As for the volume: 12.9 Å³ per atom. The formation enthalpy at 0 K comes out at 0.299 eV per atom. The total DFT energy (no corrections) comes out at -45.93 eV per formula unit.


Record 2
The following is a DFT calculation (PBE-GGA) of Li2HfAl2 after structural relaxation.

```
Li2HfAl2
1.0
-0.1833 -1.3179 7.5399
-2.6470 -7.0658 -1.2994
2.6182 -0.9616 -0.1044
Hf Al Li
2 4 4
Cartesian
0.0000 0.0000 0.0000
-1.4151 -4.1919 3.1203
-0.5332 -5.5504 0.4419
-0.9779 -7.1520 4.0385
0.3211 -3.7949 5.6941
0.7659 -2.1933 2.0975
-2.4132 -6.7609 1.7531
-1.7900 -5.5116 5.8740
-0.4170 -1.6228 4.4874
-1.0402 -2.8721 0.3665
```

The calculation puts the spin magnetization at 0.00 μB/cell. As for the polymorph energy (0 for the lowest one): 0.000 eV/atom. As for the volume: 16.4 Å³ per atom. The formation enthalpy at 0 K comes out at -0.131 eV per atom. The total DFT energy (no corrections) comes out at -21.92 eV per formula unit.


Record 3
The following is a DFT calculation (PBE-GGA) of KPu2S4 after structural relaxation.

```
KPu2S4
1.0
4.0249 0.0000 0.0000
-2.0125 6.6307 0.0000
0.0000 0.0000 13.5735
K Pu S
2 4 8
Cartesian
2.0125 1.4249 10.1801
0.0000 5.2057 3.3934
0.0000 1.7794 5.8968
2.0125 4.8513 12.6835
0.0000 1.7794 0.8899
2.0125 4.8513 7.6766
2.0125 3.4754 1.4402
2.0125 3.4754 5.3465
0.0000 3.1553 12.1332
0.0000 3.1553 8.2270
2.0125 5.6222 10.1801
0.0000 1.0085 3.3934
2.0125 0.0000 0.0000
2.0125 0.0000 6.7867
```

The calculation puts the spin magnetization at 18.00 μB/cell. As for the volume: 25.9 Å³ per atom. The uncorrected formation energy is -1523.1 meV per atom. The total DFT energy (no corrections) comes out at -56.93 eV per formula unit.


Record 4
The following is a DFT calculation (PBE-GGA) of Nd3Zn3Ag2 after structural relaxation.

```
Nd3Zn3Ag2
1.0
4.6923 0.0000 0.0000
-2.3461 5.3463 0.0000
0.0000 0.0000 15.0393
Nd Zn Ag
6 6 4
Cartesian
2.3461 4.3038 5.9314
0.0000 1.0424 13.4510
2.3461 4.3038 1.5882
0.0000 1.0424 9.1079
2.3461 1.3360 3.7598
0.0000 4.0103 11.2794
2.3461 1.1348 6.9091
0.0000 4.2115 14.4287
2.3461 1.1348 0.6105
0.0000 4.2115 8.1301
0.0000 3.6335 3.7598
2.3461 1.7128 11.2794
2.3461 3.2066 13.5493
0.0000 2.1397 6.0297
2.3461 3.2066 9.0096
0.0000 2.1397 1.4900
```

The calculation puts the spin magnetization at 0.00 μB/cell. As for the volume: 23.6 Å³ per atom. The formation enthalpy at 0 K comes out at -0.295 eV per atom. The total DFT energy (no corrections) comes out at -26.19 eV per formula unit.


Record 5
The following is a DFT calculation (PBE-GGA) of ThScTcNi after structural relaxation.

```
ThScTcNi
1.0
-0.1243 3.5319 -3.2148
-4.1755 1.3958 -1.8550
-1.8406 4.2461 1.1862
Sc Ni Tc Th
1 1 1 1
Cartesian
-3.0702 4.5869 -1.9418
-1.5351 2.2934 -0.9709
-4.6053 6.8803 -2.9127
0.0000 0.0000 0.0000
```

The calculation puts the spin magnetization at 0.00 μB/cell. As for the volume: 19.3 Å³ per atom. The formation enthalpy at 0 K comes out at -0.288 eV per atom. The total DFT energy (no corrections) comes out at -31.05 eV per formula unit.


Record 6
The following is a DFT calculation (PBE-GGA) of SrSc3Re after structural relaxation.

```
SrSc3Re
1.0
4.8484 0.0000 0.0000
0.0000 4.8484 0.0000
0.0000 0.0000 4.8484
Sc Re Sr
3 1 1
Cartesian
0.0000 2.4242 0.0000
0.0000 0.0000 2.4242
2.4242 0.0000 0.0000
2.4242 2.4242 2.4242
0.0000 0.0000 0.0000
```

The calculation puts the spin magnetization at 0.00 μB/cell. As for the polymorph energy (0 for the lowest one): 1.895 eV/atom. As for the volume: 22.8 Å³ per atom. The formation enthalpy at 0 K comes out at 2.018 eV per atom. The total DFT energy (no corrections) comes out at -23.03 eV per formula unit.


Record 7
The following is a DFT calculation (PBE-GGA) of CeDyTl3 after structural relaxation.

```
CeDyTl3
1.0
5.9634 0.0000 0.0000
0.0000 7.7828 -0.0010
0.0000 -3.8902 6.7408
Ce Dy Tl
2 2 6
Cartesian
0.0000 0.0000 0.0000
2.9817 0.0000 0.0000
1.4908 0.0033 4.4921
4.4725 3.8893 2.2477
1.4908 5.4068 1.3713
4.4725 -1.5142 5.3686
1.4908 3.8911 3.9969
4.4725 0.0015 2.7429
1.4908 2.3751 1.3721
4.4725 1.5175 5.3678
```

The calculation puts the spin magnetization at 2.30 μB/cell. As for the volume: 31.3 Å³ per atom. The formation enthalpy at 0 K comes out at 0.056 eV per atom. The total DFT energy (no corrections) comes out at -17.35 eV per formula unit.


Record 8
The following is a DFT calculation (PBE-GGA) of BaBIO2 after structural relaxation.

```
BaBIO2
1.0
-2.8309 1.4616 -3.0938
-3.1830 0.3484 3.0771
1.2755 4.2459 0.8387
I B Ba O
1 1 1 2
Cartesian
0.6378 2.1229 0.4194
0.0000 0.0000 0.0000
-2.3692 3.0279 0.4110
-1.5915 0.1742 1.5385
-1.4154 0.7308 -1.5469
```

The calculation puts the spin magnetization at 0.18 μB/cell. As for the polymorph energy (0 for the lowest one): 0.000 eV/atom. As for the volume: 17.8 Å³ per atom. The uncorrected formation energy is -186.5 meV per atom. The total DFT energy (no corrections) comes out at -21.00 eV per formula unit.


> Which of these has the lowest total DFT energy (no corrections)?

KPu2S4


> total DFT energy (no corrections) of number 6 (SrSc3Re)?

-23.03 eV per formula unit


> spin magnetization of number 7 (CeDyTl3)?

2.30 μB/cell